[1]
The following is a SCAN calculation of KZnSb at its PBEsol-relaxed geometry, from the Alexandria database.

Cell: 3.9190 3.8990 6.6199 Å, 107.13 107.22 90.00°
Fractional coordinates of all 3 atoms:
K1 0.9926 0.9926 0.9851
Sb1 0.2724 0.2724 0.5448
Zn1 0.7350 0.7350 0.4701

Results
Total moment in μB/f.u.: 0.0
Mass density in Mg/m³: 4.1
Calculated total energy in eV/atom: -19.82

---

[2]
The following is a SCAN calculation of KZn2Sb at its PBEsol-relaxed geometry, from the Alexandria database.

Cell: 4.3353 4.6297 4.6297 Å, 90.00 90.00 90.00°
Fractional coordinates of all 4 atoms:
K1 0.5000 0.5000 0.5000
Sb1 0.5000 0.0000 0.0000
Zn1 0.0000 0.0000 0.5000
Zn2 0.0000 0.5000 0.0000

Results
Total moment in μB/f.u.: 0.0
Mass density in Mg/m³: 5.2
Calculated total energy in eV/atom: -17.93

---

[3]
The following is a SCAN calculation of KZr2Sb2 at its PBEsol-relaxed geometry, from the Alexandria database.

Cell: 5.4860 6.2788 5.4860 Å, 64.10 90.00 115.90°
Each line ends with the local moment (μB).
Fractional coordinates of all 5 atoms:
Sb1 0.7500 0.5000 0.7500  -0.08
Sb2 0.2500 0.5000 0.2500  -0.08
K1 0.0000 0.0000 0.0000  0.01
Zr1 0.6599 0.3199 0.3401  0.29
Zr2 0.3401 0.6801 0.6599  0.29

Results
Total moment in μB/f.u.: 0.9
Mass density in Mg/m³: 5.2
Calculated total energy in eV/atom: -29.01

---

[4]
The following is a SCAN calculation of K2ZrSb at its PBEsol-relaxed geometry, from the Alexandria database.

Cell: 4.8832 4.9051 9.2314 Å, 104.91 90.00 119.85°
Each line ends with the local moment (μB).
Fractional coordinates of all 4 atoms:
K1 0.0324 0.0648 0.0891  0.01
K2 0.2168 0.4336 0.6612  0.01
Sb1 0.4589 0.9179 0.3742  -0.10
Zr1 0.7919 0.5837 0.3755  1.25

Results
Total moment in μB/f.u.: 2.0
Mass density in Mg/m³: 2.6
Calculated total energy in eV/atom: -21.16

---

- Which formula does entry 4 have?
  K2ZrSb

---

- The lowest mass density belongs to which entry?
  K2ZrSb

---

- What is the formula in the second record?
  KZn2Sb

---

- Which value of calculated total energy does entry 4 give?
  -21.16 eV/atom